(1)
# NdDy3Au2 (PBE, optimized geometry)
data_NdDy3Au2
_space_group_name_H-M_alt 'P 1'
_space_group_IT_number 1
_space_group_name_Hall 'P 1'
_cell_length_a 8.507
_cell_length_b 8.507
_cell_length_c 8.567
_cell_angle_alpha 112.95
_cell_angle_beta 112.95
_cell_angle_gamma 35.70
loop_
_atom_site_label
_atom_site_type_symbol
_atom_site_fract_x
_atom_site_fract_y
_atom_site_fract_z
Nd1 Nd 0.135 0.135 0.202
Nd2 Nd 0.865 0.865 0.798
Dy1 Dy 0.063 0.063 0.733
Dy2 Dy 0.306 0.306 0.002
Dy3 Dy 0.374 0.374 0.491
Dy4 Dy 0.626 0.626 0.509
Dy5 Dy 0.694 0.694 0.998
Dy6 Dy 0.937 0.937 0.267
Au1 Au 0.217 0.217 0.625
Au2 Au 0.498 0.498 0.162
Au3 Au 0.502 0.502 0.838
Au4 Au 0.783 0.783 0.375
# SG ... C2/m, No. 12
# D(E_F) ... 5.8 states/eV/f.u.
# Formation energy ... -47.6 kJ/mol of atoms
# Polymorph energy (0 for the lowest one) ... 120 meV per atom

***

(2)
# AgTe2Pd8 (PBE, optimized geometry)
data_AgTe2Pd8
_space_group_name_H-M_alt 'P 1'
_space_group_IT_number 1
_space_group_name_Hall 'P 1'
_cell_length_a 7.777
_cell_length_b 7.777
_cell_length_c 6.450
_cell_angle_alpha 108.83
_cell_angle_beta 108.83
_cell_angle_gamma 30.91
loop_
_atom_site_label
_atom_site_type_symbol
_atom_site_fract_x
_atom_site_fract_y
_atom_site_fract_z
Ag1 Ag 0.000 0.000 0.000
Te1 Te 0.301 0.301 0.336
Te2 Te 0.699 0.699 0.664
Pd1 Pd 0.087 0.087 0.459
Pd2 Pd 0.177 0.177 0.928
Pd3 Pd 0.355 0.355 0.794
Pd4 Pd 0.463 0.463 0.261
Pd5 Pd 0.537 0.537 0.739
Pd6 Pd 0.645 0.645 0.206
Pd7 Pd 0.823 0.823 0.072
Pd8 Pd 0.913 0.913 0.541
# SG ... C2/m, No. 12
# Uncorrected formation energy ... -0.201 eV/atom
# D(E_F) ... 5.8 states/eV/f.u.
# Polymorph energy (0 for the lowest one) ... 0 meV per atom

***

(3)
# PmPr4Th (PBE, optimized geometry)
data_PmPr4Th
_space_group_name_H-M_alt 'P 1'
_space_group_IT_number 1
_space_group_name_Hall 'P 1'
_cell_length_a 3.663
_cell_length_b 6.369
_cell_length_c 9.757
_cell_angle_alpha 77.50
_cell_angle_beta 79.20
_cell_angle_gamma 73.77
loop_
_atom_site_label
_atom_site_type_symbol
_atom_site_fract_x
_atom_site_fract_y
_atom_site_fract_z
Pm1 Pm 0.000 0.000 0.000
Pr1 Pr 0.336 0.992 0.338
Pr2 Pr 0.337 0.499 0.826
Pr3 Pr 0.663 0.501 0.174
Pr4 Pr 0.664 0.008 0.662
Th1 Th 0.000 0.500 0.500
# SG ... P-1, No. 2
# D(E_F) ... 9.9 states/eV/f.u.
# Formation energy ... 3.9 kJ/mol of atoms
# Polymorph energy (0 for the lowest one) ... 0 meV per atom

***

(4)
# Ac2Pm3Dy4 (PBE, optimized geometry)
data_Ac2Pm3Dy4
_space_group_name_H-M_alt 'P 1'
_space_group_IT_number 1
_space_group_name_Hall 'P 1'
_cell_length_a 8.893
_cell_length_b 8.893
_cell_length_c 6.506
_cell_angle_alpha 104.71
_cell_angle_beta 104.71
_cell_angle_gamma 39.80
loop_
_atom_site_label
_atom_site_type_symbol
_atom_site_fract_x
_atom_site_fract_y
_atom_site_fract_z
Ac1 Ac 0.168 0.168 0.344
Ac2 Ac 0.832 0.832 0.656
Pm1 Pm 0.398 0.398 0.435
Pm2 Pm 0.500 0.500 0.000
Pm3 Pm 0.602 0.602 0.565
Dy1 Dy 0.059 0.059 0.777
Dy2 Dy 0.281 0.281 0.919
Dy3 Dy 0.719 0.719 0.081
Dy4 Dy 0.941 0.941 0.223
# SG ... C2/m, No. 12
# D(E_F) ... 17.1 states/eV/f.u.
# Formation energy ... 11.5 kJ/mol of atoms
# Polymorph energy (0 for the lowest one) ... 32 meV per atom

***

(5)
# ReTe2F (PBE, optimized geometry)
data_ReTe2F
_space_group_name_H-M_alt 'P 1'
_space_group_IT_number 1
_space_group_name_Hall 'P 1'
_cell_length_a 7.491
_cell_length_b 7.491
_cell_length_c 7.491
_cell_angle_alpha 31.88
_cell_angle_beta 31.88
_cell_angle_gamma 31.88
loop_
_atom_site_label
_atom_site_type_symbol
_atom_site_fract_x
_atom_site_fract_y
_atom_site_fract_z
Re1 Re 0.000 0.000 0.000
Te1 Te 0.393 0.393 0.393
Te2 Te 0.607 0.607 0.607
F1 F 0.500 0.500 0.500
# SG ... R-3m, No. 166
# Uncorrected formation energy ... -0.235 eV/atom
# D(E_F) ... 3.7 states/eV/f.u.
# Polymorph energy (0 for the lowest one) ... 0 meV per atom

***

(6)
# Er2ThMg9 (PBE, optimized geometry)
data_Er2ThMg9
_space_group_name_H-M_alt 'P 1'
_space_group_IT_number 1
_space_group_name_Hall 'P 1'
_cell_length_a 10.278
_cell_length_b 10.278
_cell_length_c 10.278
_cell_angle_alpha 34.03
_cell_angle_beta 34.03
_cell_angle_gamma 34.03
loop_
_atom_site_label
_atom_site_type_symbol
_atom_site_fract_x
_atom_site_fract_y
_atom_site_fract_z
Er1 Er 0.143 0.143 0.143
Er2 Er 0.857 0.857 0.857
Th1 Th 0.000 0.000 0.000
Mg1 Mg 0.079 0.587 0.587
Mg2 Mg 0.334 0.334 0.334
Mg3 Mg 0.413 0.413 0.921
Mg4 Mg 0.413 0.921 0.413
Mg5 Mg 0.500 0.500 0.500
Mg6 Mg 0.587 0.079 0.587
Mg7 Mg 0.587 0.587 0.079
Mg8 Mg 0.666 0.666 0.666
Mg9 Mg 0.921 0.413 0.413
# SG ... R-3m, No. 166
# D(E_F) ... 11.8 states/eV/f.u.
# Formation energy ... 0.5 kJ/mol of atoms

***

(7)
# LaGdSnCl (PBE, optimized geometry)
data_LaGdSnCl
_space_group_name_H-M_alt 'P 1'
_space_group_IT_number 1
_space_group_name_Hall 'P 1'
_cell_length_a 5.388
_cell_length_b 5.388
_cell_length_c 5.388
_cell_angle_alpha 60.00
_cell_angle_beta 60.00
_cell_angle_gamma 60.00
loop_
_atom_site_label
_atom_site_type_symbol
_atom_site_fract_x
_atom_site_fract_y
_atom_site_fract_z
La1 La 0.000 0.000 0.000
Gd1 Gd 0.500 0.500 0.500
Sn1 Sn 0.750 0.750 0.750
Cl1 Cl 0.250 0.250 0.250
# SG ... F-43m, No. 216
# Uncorrected formation energy ... -1.031 eV/atom
# D(E_F) ... 5.0 states/eV/f.u.

***

(8)
# Pm3Al (PBE, optimized geometry)
data_Pm3Al
_space_group_name_H-M_alt 'P 1'
_space_group_IT_number 1
_space_group_name_Hall 'P 1'
_cell_length_a 6.036
_cell_length_b 6.036
_cell_length_c 6.036
_cell_angle_alpha 133.17
_cell_angle_beta 133.17
_cell_angle_gamma 68.39
loop_
_atom_site_label
_atom_site_type_symbol
_atom_site_fract_x
_atom_site_fract_y
_atom_site_fract_z
Pm1 Pm 0.000 0.000 0.000
Pm2 Pm 0.250 0.750 0.500
Pm3 Pm 0.750 0.250 0.500
Al1 Al 0.500 0.500 0.000
# SG ... I4/mmm, No. 139
# D(E_F) ... 4.8 states/eV/f.u.
# Formation energy ... -14.5 kJ/mol of atoms
# Polymorph energy (0 for the lowest one) ... 35 meV per atom

***

(9)
# In2ReSb (PBE, optimized geometry)
data_In2ReSb
_space_group_name_H-M_alt 'P 1'
_space_group_IT_number 1
_space_group_name_Hall 'P 1'
_cell_length_a 3.234
_cell_length_b 3.234
_cell_length_c 8.808
_cell_angle_alpha 90.00
_cell_angle_beta 90.00
_cell_angle_gamma 90.00
loop_
_atom_site_label
_atom_site_type_symbol
_atom_site_fract_x
_atom_site_fract_y
_atom_site_fract_z
In1 In 0.000 0.000 0.000
In2 In 0.500 0.500 0.293
Re1 Re 0.000 0.000 0.498
Sb1 Sb 0.500 0.500 0.675
# SG ... P4mm, No. 99
# Uncorrected formation energy ... 0.318 eV/atom
# D(E_F) ... 3.2 states/eV/f.u.

***

(10)
# Ca2Pm3Cd3 (PBE, optimized geometry)
data_Ca2Pm3Cd3
_space_group_name_H-M_alt 'P 1'
_space_group_IT_number 1
_space_group_name_Hall 'P 1'
_cell_length_a 12.109
_cell_length_b 12.109
_cell_length_c 12.109
_cell_angle_alpha 161.84
_cell_angle_beta 153.46
_cell_angle_gamma 32.35
loop_
_atom_site_label
_atom_site_type_symbol
_atom_site_fract_x
_atom_site_fract_y
_atom_site_fract_z
Ca1 Ca 0.227 0.227 0.000
Ca2 Ca 0.773 0.773 0.000
Pm1 Pm 0.000 0.000 0.000
Pm2 Pm 0.383 0.883 0.500
Pm3 Pm 0.617 0.117 0.500
Cd1 Cd 0.114 0.614 0.500
Cd2 Cd 0.500 0.500 0.000
Cd3 Cd 0.886 0.386 0.500
# SG ... Immm, No. 71
# D(E_F) ... 9.6 states/eV/f.u.
# Formation energy ... -18.6 kJ/mol of atoms

***

(11)
# SrCa2HgIr (PBE, optimized geometry)
data_SrCa2HgIr
_space_group_name_H-M_alt 'P 1'
_space_group_IT_number 1
_space_group_name_Hall 'P 1'
_cell_length_a 5.468
_cell_length_b 5.468
_cell_length_c 5.808
_cell_angle_alpha 90.00
_cell_angle_beta 90.00
_cell_angle_gamma 90.00
loop_
_atom_site_label
_atom_site_type_symbol
_atom_site_fract_x
_atom_site_fract_y
_atom_site_fract_z
Sr1 Sr 0.000 0.000 0.000
Ca1 Ca 0.000 0.500 0.500
Ca2 Ca 0.500 0.000 0.500
Hg1 Hg 0.500 0.500 0.000
Ir1 Ir 0.000 0.000 0.500
# SG ... P4/mmm, No. 123
# D(E_F) ... 2.1 states/eV/f.u.
# Formation energy ... -23.9 kJ/mol of atoms
# Polymorph energy (0 for the lowest one) ... 0 meV per atom

***

(12)
# AlCrCoRh (PBE, optimized geometry)
data_AlCrCoRh
_space_group_name_H-M_alt 'P 1'
_space_group_IT_number 1
_space_group_name_Hall 'P 1'
_cell_length_a 4.164
_cell_length_b 4.164
_cell_length_c 4.164
_cell_angle_alpha 60.00
_cell_angle_beta 60.00
_cell_angle_gamma 60.00
loop_
_atom_site_label
_atom_site_type_symbol
_atom_site_fract_x
_atom_site_fract_y
_atom_site_fract_z
Al1 Al 0.000 0.000 0.000
Cr1 Cr 0.500 0.500 0.500
Co1 Co 0.750 0.750 0.750
Rh1 Rh 0.250 0.250 0.250
# SG ... F-43m, No. 216
# D(E_F) ... 3.2 states/eV/f.u.
# Formation energy ... -34.4 kJ/mol of atoms